Record 1
The following is a DFT calculation (PBE-GGA) of a relaxed ScCrSi2Ru crystal.

Lattice parameters (Å, degrees): 4.3365 4.3365 4.5927 90.00 90.00 90.00
Closest atoms and distances in Å follow each position.
Element x y z (fractional)
Sc1 0.0000 0.0000 0.0000  4 Ru 3.07, 8 Si 3.16
Cr1 0.5000 0.5000 0.5000  4 Si 2.17, 2 Ru 2.30
Si1 0.0000 0.5000 0.5000  2 Cr 2.17
Si2 0.5000 0.0000 0.5000  2 Cr 2.17
Ru1 0.5000 0.5000 0.0000  2 Cr 2.30

E_form (uncorrected): 6.4 kcal/mol of atoms
excess energy over the best structure of this formula in the dataset: 0.00 kJ/mol of atoms
V: 17.27 Å³ per atom

---

Record 2
The following is a DFT calculation (PBE-GGA) of a relaxed ScCrSi2Ru crystal.

Lattice parameters (Å, degrees): 4.3848 4.3848 4.4747 90.00 90.00 90.00
Closest atoms and distances in Å follow each position.
Element x y z (fractional)
Sc1 0.0000 0.0000 0.0000  2 Cr 2.24
Cr1 0.0000 0.0000 0.5000  4 Si 2.19, 2 Sc 2.24
Si1 0.0000 0.5000 0.5000  2 Cr 2.19
Si2 0.5000 0.0000 0.5000  2 Cr 2.19
Ru1 0.5000 0.5000 0.0000  4 Sc 3.10, 8 Si 3.13

E_form (uncorrected): 14.1 kcal/mol of atoms
excess energy over the best structure of this formula in the dataset: 32.30 kJ/mol of atoms
V: 17.21 Å³ per atom

---

Record 3
The following is a DFT calculation (PBE-GGA) of a relaxed ScCrSnRu crystal.

Lattice parameters (Å, degrees): 4.5713 4.5713 4.5713 60.00 60.00 60.00
Closest atoms and distances in Å follow each position.
Element x y z (fractional)
Sc1 0.0000 0.0000 0.0000  4 Cr 2.80, 4 Ru 2.80
Cr1 0.7500 0.7500 0.7500  4 Sn 2.80, 4 Sc 2.80
Sn1 0.5000 0.5000 0.5000  4 Cr 2.80, 4 Ru 2.80
Ru1 0.2500 0.2500 0.2500  4 Sn 2.80, 4 Sc 2.80

V: 16.89 Å³ per atom
E_tot: -0.560 Ry/atom